Cs3SeF6: optimized geometry, GGA-PBE.

Cell lengths 6.750, 6.750, 7.261 Å; angles 62.30, 62.30, 90.00 degrees
Site moments in Bohr magnetons follow the coordinates.
Fractional coordinates of all 10 atoms:
F 0.257 0.257 0.485  0.10
F 0.294 0.706 0.000  0.02
F 0.706 0.294 0.000  0.02
Cs 0.750 0.250 0.500  0.00
Cs 0.000 0.000 0.000  0.01
F 0.743 0.743 0.515  0.10
Se 0.500 0.500 0.000  0.49
F 0.706 0.706 0.000  0.02
Cs 0.250 0.750 0.500  0.00
F 0.294 0.294 0.000  0.02

Output
For the volume, the calculation gives 24.9 Å³/atom. Its density of states at the Fermi level is 0.00 states/eV per cell. The value obtained for the total moment is 1.000 μB per cell. For the energy above the most stable polymorph in this dataset, the calculation gives 0.028 eV per atom.

MgZr2Br: optimized geometry, GGA-PBE.

Cell lengths 5.104, 5.104, 5.104 Å; angles 60.00, 60.00, 60.00 degrees
Site moments in Bohr magnetons follow the coordinates.
Fractional coordinates of all 4 atoms:
Zr 0.000 0.000 0.000  0.99
Mg 0.750 0.750 0.750  0.00
Zr 0.250 0.250 0.250  0.94
Br 0.500 0.500 0.500  0.02

Output
For the volume, the calculation gives 23.5 Å³/atom. Its density of states at the Fermi level is 5.16 states/eV per cell. The value obtained for the total moment is 3.155 μB per cell. For the energy above the most stable polymorph in this dataset, the calculation gives 0.742 eV per atom.

YThCoCu: optimized geometry, GGA-PBE.

Cell lengths 3.808, 3.871, 6.131 Å; angles 90.00, 108.09, 90.00 degrees
Fractional coordinates of all 4 atoms:
Cu 0.570 0.500 0.140
Co 0.406 0.000 0.812
Y 0.150 0.000 0.300
Th 0.874 0.500 0.748

Output
For the volume, the calculation gives 21.5 Å³/atom. Its density of states at the Fermi level is 2.61 states/eV per cell. The value obtained for the total moment is 0.000 μB per cell. Its formation energy is -286 meV per atom. For the energy above the most stable polymorph in this dataset, the calculation gives 0.000 eV per atom.

Sc2PaCd: optimized geometry, GGA-PBE.

Cell lengths 3.247, 3.247, 8.860 Å; angles 90.00, 90.00, 90.00 degrees
Fractional coordinates of all 4 atoms:
Sc 0.000 0.000 0.239
Pa 0.500 0.500 0.500
Sc 0.000 0.000 0.761
Cd 0.500 0.500 0.000

Output
For the volume, the calculation gives 23.4 Å³/atom. Its density of states at the Fermi level is 5.41 states/eV per cell. The value obtained for the total moment is 0.000 μB per cell. Its formation energy is -94 meV per atom. For the energy above the most stable polymorph in this dataset, the calculation gives 0.000 eV per atom.

CeHoTeAs: optimized geometry, GGA-PBE.

Cell lengths 4.183, 4.184, 7.819 Å; angles 90.00, 105.52, 120.00 degrees
Site moments in Bohr magnetons follow the coordinates.
Fractional coordinates of all 4 atoms:
As 0.299 0.548 0.862  -0.02
Ce 0.113 0.955 0.083  0.79
Ho 0.492 0.144 0.651  -0.01
Te 0.973 0.385 0.373  -0.01

Output
For the volume, the calculation gives 28.2 Å³/atom. Its density of states at the Fermi level is 7.26 states/eV per cell. The value obtained for the total moment is 0.869 μB per cell. The calculated total energy is -5.965 eV/atom.

CsSr3Pd: optimized geometry, GGA-PBE.

Cell lengths 12.510, 12.510, 8.141 Å; angles 90.00, 90.00, 146.49 degrees
Fractional coordinates of all 10 atoms:
Sr 0.620 0.863 0.250
Pd 0.474 0.526 0.250
Cs 0.188 0.812 0.250
Sr 0.863 0.620 0.750
Sr 0.380 0.137 0.750
Sr 0.137 0.380 0.250
Pd 0.526 0.474 0.750
Sr 0.000 0.000 0.000
Cs 0.812 0.188 0.750
Sr 0.000 0.000 0.500

Output
For the volume, the calculation gives 70.3 Å³/atom. Its density of states at the Fermi level is 9.27 states/eV per cell. The value obtained for the total moment is 0.000 μB per cell. Its formation energy is 372 meV per atom. For the energy above the most stable polymorph in this dataset, the calculation gives 0.612 eV per atom.

NaSnBi: optimized geometry, GGA-PBE.

Cell lengths 4.134, 4.134, 6.096 Å; angles 109.82, 109.82, 90.00 degrees
Fractional coordinates of all 3 atoms:
Na 0.617 0.617 0.234
Bi 0.928 0.928 0.857
Sn 0.305 0.305 0.609

Output
For the volume, the calculation gives 30.5 Å³/atom. Its density of states at the Fermi level is 0.93 states/eV per cell. The value obtained for the total moment is 0.000 μB per cell. Its formation energy is -131 meV per atom.

Dy2TeSe2: optimized geometry, GGA-PBE.

Cell lengths 4.242, 5.668, 7.610 Å; angles 111.87, 106.18, 90.00 degrees
Fractional coordinates of all 5 atoms:
Dy 0.665 0.165 0.331
Dy 0.335 0.835 0.669
Te 0.000 0.000 0.000
Se 0.308 0.308 0.615
Se 0.692 0.692 0.385

Output
For the volume, the calculation gives 32.4 Å³/atom. Its density of states at the Fermi level is 0.00 states/eV per cell. The value obtained for the total moment is 0.000 μB per cell. For the energy above the most stable polymorph in this dataset, the calculation gives 0.000 eV per atom.

Th3ZnCo: optimized geometry, GGA-PBE.

Cell lengths 4.910, 7.791, 8.051 Å; angles 118.94, 90.00, 90.00 degrees
Fractional coordinates of all 10 atoms:
Th 0.500 0.308 0.000
Th 0.000 0.120 0.240
Co 0.500 0.100 0.201
Th 0.500 0.500 0.500
Zn 0.000 0.364 0.727
Zn 0.000 0.636 0.273
Th 0.500 0.692 0.000
Co 0.500 0.900 0.799
Th 0.000 0.880 0.760
Th 0.500 0.000 0.500

Output
For the volume, the calculation gives 27.0 Å³/atom. Its density of states at the Fermi level is 11.14 states/eV per cell. The value obtained for the total moment is 0.000 μB per cell. Its formation energy is -53 meV per atom. For the energy above the most stable polymorph in this dataset, the calculation gives 0.128 eV per atom.

Bi3TeN: optimized geometry, GGA-PBE.

Cell lengths 5.834, 5.834, 5.834 Å; angles 90.00, 90.00, 90.00 degrees
Fractional coordinates of all 5 atoms:
Bi 0.500 0.000 0.000
Bi 0.000 0.000 0.500
Te 0.000 0.000 0.000
Bi 0.000 0.500 0.000
N 0.500 0.500 0.500

Output
For the volume, the calculation gives 39.7 Å³/atom. Its density of states at the Fermi level is 16.04 states/eV per cell. The value obtained for the total moment is 0.000 μB per cell. For the energy above the most stable polymorph in this dataset, the calculation gives 1.455 eV per atom.

Cd12Ga6Hg: optimized geometry, GGA-PBE.

Cell lengths 8.167, 8.167, 8.167 Å; angles 107.61, 107.61, 107.61 degrees
Fractional coordinates of all 19 atoms:
Cd 0.500 0.885 0.115
Cd 0.885 0.115 0.500
Ga 0.695 0.695 0.300
Ga 0.300 0.695 0.695
Cd 0.111 0.351 0.351
Ga 0.305 0.305 0.700
Cd 0.115 0.885 0.500
Hg 0.000 0.000 0.000
Cd 0.351 0.111 0.351
Cd 0.889 0.649 0.649
Ga 0.305 0.700 0.305
Cd 0.500 0.115 0.885
Ga 0.695 0.300 0.695
Cd 0.649 0.889 0.649
Cd 0.115 0.500 0.885
Cd 0.649 0.649 0.889
Ga 0.700 0.305 0.305
Cd 0.351 0.351 0.111
Cd 0.885 0.500 0.115

Output
For the volume, the calculation gives 23.5 Å³/atom. Its density of states at the Fermi level is 6.93 states/eV per cell. The value obtained for the total moment is 0.000 μB per cell. Its formation energy is 77 meV per atom.

Ca2Ga3Si: optimized geometry, GGA-PBE.

Cell lengths 4.351, 5.806, 5.905 Å; angles 74.85, 68.39, 68.00 degrees
Fractional coordinates of all 6 atoms:
Si 0.155 0.393 0.296
Ga 0.168 0.752 0.912
Ca 0.439 0.813 0.309
Ga 0.834 0.241 0.091
Ca 0.561 0.190 0.688
Ga 0.843 0.610 0.704

Output
For the volume, the calculation gives 21.2 Å³/atom. Its density of states at the Fermi level is 2.10 states/eV per cell. The value obtained for the total moment is 0.000 μB per cell. For the energy above the most stable polymorph in this dataset, the calculation gives 0.037 eV per atom.

Na2NbSn: optimized geometry, GGA-PBE.

Cell lengths 8.609, 8.609, 6.726 Å; angles 50.21, 50.21, 90.00 degrees
Site moments in Bohr magnetons follow the coordinates.
Fractional coordinates of all 8 atoms:
Nb 0.250 0.750 0.500  2.22
Na 0.875 0.886 0.750  0.02
Na 0.375 0.364 0.750  0.01
Na 0.114 0.625 0.250  0.02
Sn 0.750 0.250 0.500  -0.12
Nb 0.500 0.500 0.000  2.22
Sn 0.000 0.000 0.000  -0.12
Na 0.636 0.125 0.250  0.01

Output
For the volume, the calculation gives 26.5 Å³/atom. Its density of states at the Fermi level is 3.16 states/eV per cell. The value obtained for the total moment is 5.782 μB per cell. Its formation energy is 727 meV per atom.

TaCI: optimized geometry, GGA-PBE.

Cell lengths 10.726, 4.592, 6.091 Å; angles 90.00, 101.99, 90.00 degrees
Fractional coordinates of all 12 atoms:
Ta 0.584 0.429 0.336
Ta 0.416 0.429 0.664
I 0.205 0.114 0.807
C 0.500 0.263 0.000
I 0.795 0.614 0.693
C 0.500 0.763 0.500
I 0.205 0.614 0.307
C 0.500 0.592 0.000
Ta 0.416 0.929 0.164
I 0.795 0.114 0.193
C 0.500 0.092 0.500
Ta 0.584 0.929 0.836

Output
For the volume, the calculation gives 24.5 Å³/atom. Its density of states at the Fermi level is 0.96 states/eV per cell. The value obtained for the total moment is 0.000 μB per cell. The calculated total energy is -7.749 eV/atom.

YBe2Sb: optimized geometry, GGA-PBE.

Cell lengths 4.794, 4.794, 4.794 Å; angles 60.00, 60.00, 60.00 degrees
Fractional coordinates of all 4 atoms:
Be 0.000 0.000 0.000
Be 0.750 0.750 0.750
Y 0.250 0.250 0.250
Sb 0.500 0.500 0.500

Output
For the volume, the calculation gives 19.5 Å³/atom. Its density of states at the Fermi level is 3.40 states/eV per cell. The value obtained for the total moment is 0.000 μB per cell. The calculated total energy is -4.068 eV/atom.

LiZn2As: optimized geometry, GGA-PBE.

Cell lengths 4.876, 4.876, 3.071 Å; angles 90.00, 90.00, 115.65 degrees
Fractional coordinates of all 4 atoms:
Zn 0.500 0.500 0.000
Zn 0.000 0.000 0.000
Li 0.000 0.500 0.500
As 0.500 0.000 0.500

Output
For the volume, the calculation gives 16.5 Å³/atom. Its density of states at the Fermi level is 1.46 states/eV per cell. The value obtained for the total moment is 0.000 μB per cell. Its formation energy is -62 meV per atom.

Tl12HgTe7: optimized geometry, GGA-PBE.

Cell lengths 5.708, 12.345, 12.345 Å; angles 62.33, 81.13, 98.87 degrees
Fractional coordinates of all 20 atoms:
Tl 0.212 0.407 0.427
Tl 0.265 0.682 0.073
Tl 0.338 0.073 0.245
Te 0.204 0.419 0.682
Te 0.796 0.581 0.318
Te 0.500 0.000 0.000
Te 0.785 0.899 0.419
Tl 0.788 0.593 0.573
Tl 0.639 0.427 0.166
Te 0.114 0.318 0.101
Te 0.886 0.682 0.899
Tl 0.735 0.318 0.927
Hg 0.000 0.000 0.000
Tl 0.662 0.927 0.755
Te 0.215 0.101 0.581
Tl 0.805 0.166 0.407
Tl 0.361 0.573 0.834
Tl 0.195 0.834 0.593
Tl 0.417 0.755 0.318
Tl 0.583 0.245 0.682

Output
For the volume, the calculation gives 36.8 Å³/atom. Its density of states at the Fermi level is 7.27 states/eV per cell. The value obtained for the total moment is 0.000 μB per cell. The calculated total energy is -2.761 eV/atom.

NdErInNi: optimized geometry, GGA-PBE.

Cell lengths 5.162, 5.162, 5.162 Å; angles 60.00, 60.00, 60.00 degrees
Fractional coordinates of all 4 atoms:
Ni 0.250 0.250 0.250
Nd 0.500 0.500 0.500
In 0.750 0.750 0.750
Er 0.000 0.000 0.000

Output
For the volume, the calculation gives 24.3 Å³/atom. Its density of states at the Fermi level is 4.27 states/eV per cell. The value obtained for the total moment is 0.000 μB per cell. Its formation energy is -270 meV per atom.

CePuMgOs: optimized geometry, GGA-PBE.

Cell lengths 5.001, 5.001, 5.001 Å; angles 60.00, 60.00, 60.00 degrees
Site moments in Bohr magnetons follow the coordinates.
Fractional coordinates of all 4 atoms:
Ce 0.250 0.250 0.250  0.12
Pu 0.750 0.750 0.750  5.17
Mg 0.500 0.500 0.500  0.00
Os 0.000 0.000 0.000  -0.35

Output
For the volume, the calculation gives 22.1 Å³/atom. Its density of states at the Fermi level is 7.58 states/eV per cell. The value obtained for the total moment is 5.281 μB per cell. Its formation energy is 62 meV per atom.

PmTmMgRu: optimized geometry, GGA-PBE.

Cell lengths 5.053, 5.053, 5.053 Å; angles 60.00, 60.00, 60.00 degrees
Fractional coordinates of all 4 atoms:
Ru 0.750 0.750 0.750
Pm 0.500 0.500 0.500
Mg 0.250 0.250 0.250
Tm 0.000 0.000 0.000

Output
For the volume, the calculation gives 22.8 Å³/atom. Its density of states at the Fermi level is 3.76 states/eV per cell. The value obtained for the total moment is 0.000 μB per cell. Its formation energy is -157 meV per atom. For the energy above the most stable polymorph in this dataset, the calculation gives 0.095 eV per atom.

Ta2CrP: optimized geometry, GGA-PBE.

Cell lengths 3.483, 4.381, 3.949 Å; angles 90.00, 90.00, 90.00 degrees
Site moments in Bohr magnetons follow the coordinates.
Fractional coordinates of all 4 atoms:
P 0.000 0.500 0.500  -0.01
Ta 0.500 0.500 0.000  -0.04
Cr 0.500 0.000 0.500  1.39
Ta 0.000 0.000 0.000  -0.13

Output
For the volume, the calculation gives 15.1 Å³/atom. Its density of states at the Fermi level is 2.88 states/eV per cell. The value obtained for the total moment is 1.250 μB per cell. Its formation energy is -98 meV per atom.

EuHg2Bi: optimized geometry, GGA-PBE.

Cell lengths 5.441, 5.441, 5.441 Å; angles 60.00, 60.00, 60.00 degrees
Site moments in Bohr magnetons follow the coordinates.
Fractional coordinates of all 4 atoms:
Eu 0.750 0.750 0.750  -6.85
Bi 0.250 0.250 0.250  0.04
Hg 0.000 0.000 0.000  -0.01
Hg 0.500 0.500 0.500  -0.01

Output
For the volume, the calculation gives 28.5 Å³/atom. Its density of states at the Fermi level is 3.95 states/eV per cell. The value obtained for the total moment is 7.060 μB per cell. Its formation energy is -431 meV per atom.

ZrNiCl2: optimized geometry, GGA-PBE.

Cell lengths 3.173, 5.290, 4.135 Å; angles 90.00, 90.00, 90.00 degrees
Fractional coordinates of all 4 atoms:
Ni 0.500 0.000 0.500
Cl 0.500 0.500 0.000
Cl 0.000 0.000 0.000
Zr 0.000 0.500 0.500

Output
For the volume, the calculation gives 17.3 Å³/atom. Its density of states at the Fermi level is 2.87 states/eV per cell. The value obtained for the total moment is 0.000 μB per cell. For the energy above the most stable polymorph in this dataset, the calculation gives 0.665 eV per atom.

K2ZnPt: optimized geometry, GGA-PBE.

Cell lengths 3.125, 4.032, 9.845 Å; angles 90.00, 90.00, 90.00 degrees
Fractional coordinates of all 4 atoms:
Pt 0.000 0.000 0.600
K 0.000 0.000 0.917
Zn 0.500 0.500 0.646
K 0.500 0.500 0.337

Output
For the volume, the calculation gives 31.0 Å³/atom. Its density of states at the Fermi level is 1.56 states/eV per cell. The value obtained for the total moment is 0.000 μB per cell. Its formation energy is -95 meV per atom.

LaNdEr2Th: optimized geometry, GGA-PBE.

Cell lengths 5.697, 8.752, 7.079 Å; angles 90.05, 90.00, 90.00 degrees
Fractional coordinates of all 10 atoms:
Er 0.500 0.320 0.500
Th 0.500 0.000 0.750
Nd 0.000 0.500 0.750
Er 0.500 0.680 0.000
La 0.000 0.000 0.000
Th 0.500 0.000 0.250
La 0.000 0.000 0.500
Er 0.500 0.320 0.000
Nd 0.000 0.500 0.250
Er 0.500 0.680 0.500

Output
For the volume, the calculation gives 35.3 Å³/atom. Its density of states at the Fermi level is 14.75 states/eV per cell. The value obtained for the total moment is 0.000 μB per cell. Its formation energy is 263 meV per atom.

GaTeH: optimized geometry, GGA-PBE.

Cell lengths 4.414, 7.291, 4.721 Å; angles 108.36, 89.99, 89.98 degrees
Fractional coordinates of all 6 atoms:
Te 0.567 0.272 0.282
Ga 0.797 0.547 0.031
Te 0.067 0.822 0.518
H 0.259 0.255 0.059
H 0.760 0.840 0.742
Ga 0.297 0.546 0.769

Output
For the volume, the calculation gives 24.0 Å³/atom. The value obtained for the total moment is 0.000 μB per cell. For the energy above the most stable polymorph in this dataset, the calculation gives 0.295 eV per atom.